Material: KMnH4Cl3O2
Method: DFT, PBE with a Hubbard U
State: relaxed

POSCAR file:
```
KMnH4Cl3O2
1.0
6.434 0.000 0.000
2.614 6.647 0.000
0.106 3.678 8.680
K Mn H Cl O
2 2 8 6 4
direct
0.097 0.133 0.195
0.903 0.867 0.805
0.385 0.460 0.325
0.615 0.540 0.675
0.096 0.270 0.487
0.333 0.096 0.578
0.357 0.301 0.821
0.459 0.740 0.051
0.541 0.260 0.949
0.643 0.699 0.179
0.667 0.904 0.422
0.904 0.730 0.513
0.005 0.641 0.162
0.247 0.697 0.489
0.428 0.808 0.802
0.572 0.192 0.198
0.753 0.303 0.511
0.995 0.359 0.838
0.258 0.217 0.477
0.483 0.720 0.160
0.517 0.280 0.840
0.742 0.783 0.523
```

Summary:
magnetic moment	5.000	μB/f.u.
uncorrected energy	-0.346	Ry/atom
D(E_F)	0.00	states/eV/f.u.